K4H2Se2N: optimized geometry, PBE-GGA.

The structure in POSCAR format:
```
K4H2Se2N
1.0
5.5574 -4.0646 0.0000
5.5574 4.0646 0.0000
-0.5546 0.0000 5.6720
K H Se N
4 2 2 1
Direct
0.1095 0.6436 0.7710
0.3564 0.8905 0.2290
0.6436 0.1095 0.7710
0.8905 0.3564 0.2290
0.4350 0.4350 0.1078
0.5650 0.5650 0.8922
0.1330 0.1330 0.7064
0.8670 0.8670 0.2936
0.5000 0.5000 0.0000
```

ρ   2.1 Mg/m³
SG   C2/m (12)
E_tot   -3.45 eV/atom

=====

KH6Se2N2: optimized geometry, PBE-GGA.

The structure in POSCAR format:
```
KH6Se2N2
1.0
5.1906 -2.9949 0.0000
5.1906 2.9949 0.0000
-0.0117 0.0000 5.1850
K H Se N
1 6 2 2
Direct
0.0000 0.0000 0.0000
0.1401 0.4304 0.2661
0.4304 0.1401 0.2661
0.4303 0.4303 0.2662
0.5697 0.5697 0.7338
0.5696 0.8599 0.7339
0.8599 0.5696 0.7339
0.3333 0.3333 0.7720
0.6667 0.6667 0.2280
0.3336 0.3336 0.2176
0.6664 0.6664 0.7824
```

ρ   2.4 Mg/m³
SG   C2/m (12)
E_tot   -4.34 eV/atom

=====

K3Si6H6N11: optimized geometry, PBE-GGA.

The structure in POSCAR format:
```
K3Si6H6N11
1.0
10.9010 0.0000 0.0000
0.0000 10.9010 0.0000
0.0000 0.0000 10.9010
K Si H N
12 24 24 44
Direct
0.0421 0.4579 0.5421
0.1250 0.6250 0.8750
0.2079 0.2921 0.7079
0.2921 0.7079 0.2079
0.3750 0.3750 0.3750
0.4579 0.5421 0.0421
0.5421 0.0421 0.4579
0.6250 0.8750 0.1250
0.7079 0.2079 0.2921
0.7921 0.7921 0.7921
0.8750 0.1250 0.6250
0.9579 0.9579 0.9579
0.0152 0.8384 0.5644
0.0644 0.4848 0.1616
0.0884 0.2348 0.3144
0.1616 0.0644 0.4848
0.1856 0.9116 0.7348
0.2348 0.3144 0.0884
0.2652 0.6856 0.5884
0.3144 0.0884 0.2348
0.3384 0.9356 0.9848
0.4116 0.7652 0.8144
0.4356 0.5152 0.6616
0.4848 0.1616 0.0644
0.5152 0.6616 0.4356
0.5644 0.0152 0.8384
0.5884 0.2652 0.6856
0.6616 0.4356 0.5152
0.6856 0.5884 0.2652
0.7348 0.1856 0.9116
0.7652 0.8144 0.4116
0.8144 0.4116 0.7652
0.8384 0.5644 0.0152
0.9116 0.7348 0.1856
0.9356 0.9848 0.3384
0.9848 0.3384 0.9356
0.0358 0.6228 0.3182
0.0682 0.8728 0.2142
0.1228 0.1818 0.9642
0.1272 0.7142 0.4318
0.1818 0.9642 0.1228
0.2142 0.0682 0.8728
0.2858 0.9318 0.3728
0.3182 0.0358 0.6228
0.3728 0.2858 0.9318
0.3772 0.8182 0.4642
0.4318 0.1272 0.7142
0.4642 0.3772 0.8182
0.5358 0.8772 0.6818
0.5682 0.6272 0.7858
0.6228 0.3182 0.0358
0.6272 0.7858 0.5682
0.6818 0.5358 0.8772
0.7142 0.4318 0.1272
0.7858 0.5682 0.6272
0.8182 0.4642 0.3772
0.8728 0.2142 0.0682
0.8772 0.6818 0.5358
0.9318 0.3728 0.2858
0.9642 0.1228 0.1818
0.0251 0.3790 0.2790
0.0290 0.6290 0.2249
0.0330 0.9670 0.4670
0.0351 0.8750 0.7149
0.1210 0.7210 0.5251
0.1250 0.2149 0.4649
0.1290 0.2751 0.9710
0.2149 0.4649 0.1250
0.2170 0.2170 0.2170
0.2210 0.9749 0.8790
0.2249 0.0290 0.6290
0.2751 0.9710 0.1290
0.2790 0.0251 0.3790
0.2830 0.7830 0.7170
0.2851 0.5351 0.6250
0.3710 0.7249 0.4710
0.3750 0.7851 0.9649
0.3790 0.2790 0.0251
0.4649 0.1250 0.2149
0.4670 0.0330 0.9670
0.4710 0.3710 0.7249
0.4749 0.6210 0.7790
0.5251 0.1210 0.7210
0.5290 0.8710 0.7751
0.5330 0.5330 0.5330
0.5351 0.6250 0.2851
0.6210 0.7790 0.4749
0.6250 0.2851 0.5351
0.6290 0.2249 0.0290
0.7149 0.0351 0.8750
0.7170 0.2830 0.7830
0.7210 0.5251 0.1210
0.7249 0.4710 0.3710
0.7751 0.5290 0.8710
0.7790 0.4749 0.6210
0.7830 0.7170 0.2830
0.7851 0.9649 0.3750
0.8710 0.7751 0.5290
0.8750 0.7149 0.0351
0.8790 0.2210 0.9749
0.9649 0.3750 0.7851
0.9670 0.4670 0.0330
0.9710 0.1290 0.2751
0.9749 0.8790 0.2210
```

ρ   2.3 Mg/m³
SG   P4_132 (213)
E_tot   -6.49 eV/atom

=====

KSn2H6N2: optimized geometry, PBE-GGA.

The structure in POSCAR format:
```
KSn2H6N2
1.0
4.6889 0.0000 0.0000
2.3423 6.6133 0.0000
2.3445 1.6900 6.8751
K Sn H N
1 2 6 2
Direct
0.0000 0.0000 0.0000
0.3171 0.8964 0.4694
0.6829 0.1036 0.5306
0.0700 0.4671 0.7391
0.2295 0.4426 0.1010
0.2739 0.5338 0.2621
0.7261 0.4662 0.7379
0.7705 0.5574 0.8990
0.9300 0.5329 0.2609
0.1339 0.5626 0.1695
0.8661 0.4374 0.8305
```

ρ   2.4 Mg/m³
SG   P-1 (2)
E_tot   -4.40 eV/atom

=====

KTcHN2: optimized geometry, PBE-GGA.

The structure in POSCAR format:
```
KTcHN2
1.0
3.9032 0.0000 0.0000
0.0000 3.9032 0.0000
0.0000 0.0000 4.0558
K Tc H N
1 1 1 2
Direct
0.0000 0.0000 0.0000
0.5000 0.5000 0.5000
0.5000 0.5000 0.0000
0.0000 0.5000 0.5000
0.5000 0.0000 0.5000
```

ρ   4.5 Mg/m³
SG   P4/mmm (123)
E_tot   -6.16 eV/atom

=====

KTe2HN: optimized geometry, PBE-GGA.

The structure in POSCAR format:
```
KTe2HN
1.0
6.2144 0.0000 0.0000
0.0000 6.2144 0.0000
0.0000 0.0000 4.7956
K Te H N
1 2 1 1
Direct
0.0000 0.0000 0.0000
0.0000 0.5000 0.0000
0.5000 0.0000 0.0000
0.5000 0.5000 0.5000
0.0000 0.0000 0.5000
```

ρ   2.8 Mg/m³
SG   P4/mmm (123)
E_tot   -1.68 eV/atom

=====

What magnetization values result from the calculations? In sequence: 0.9 0.0 0.0 0.0 0.0 1.2 μB/f.u..
What V values result from the calculations? In sequence: 28.47 14.66 12.46 19.38 12.36 37.04 Å³ per atom.
What N(E_F) values result from the calculations? In sequence: 0.22 1.12 0.00 1.36 2.11 9.16 states/eV/f.u..